{"formula": "ZrInAs2", "functional": "PBE", "state": "optimized geometry", "lattice": [[-0.8368, -3.0626, 2.2458], [-1.2577, -1.9500, -3.1278], [4.1555, -4.0610, -3.9896]], "species": ["As", "As", "Zr", "In"], "fractional_positions": [[0.0000, 0.1071, 0.8929], [0.5000, 0.1575, 0.3423], [0.5000, 0.6580, 0.8421], [0.0000, 0.5774, 0.4226]], "volume_a3_per_atom": 22.24, "m_tot_mub_per_cell": 0.0, "crystal_system": "tetragonal", "final_energy_ev_per_atom": -5.63, "ef_ev_per_fu": -1.9}

***

{"formula": "Nb4InRu5", "functional": "PBE", "state": "optimized geometry", "lattice": [[-2.1111, -2.3816, -0.5441], [2.0962, -2.1353, 1.2130], [-6.0749, 2.1301, 14.2484]], "species": ["Nb", "Nb", "Nb", "Nb", "In", "Ru", "Ru", "Ru", "Ru", "Ru"], "fractional_positions": [[0.0000, 0.0000, 0.2024], [0.0000, 0.0000, 0.4011], [0.0000, 0.0000, 0.5989], [0.0000, 0.0000, 0.7976], [0.0000, 0.0000, 0.0000], [0.5000, 0.5000, 0.1102], [0.5000, 0.5000, 0.3045], [0.5000, 0.5000, 0.5000], [0.5000, 0.5000, 0.6955], [0.5000, 0.5000, 0.8898]], "volume_a3_per_atom": 16.30, "m_tot_mub_per_cell": 0.0, "crystal_system": "tetragonal", "final_energy_ev_per_atom": -9.15, "ef_ev_per_fu": -2.1}

***

{"formula": "AuN", "functional": "PBE", "state": "optimized geometry", "lattice": [[-2.3665, 10.5276, -1.2849], [-2.5736, -0.9188, -2.7878], [-3.7193, -0.4009, 3.5656]], "species": ["Au", "Au", "Au", "Au", "Au", "Au", "N", "N", "N", "N", "N", "N"], "fractional_positions": [[0.7376, 0.1547, 0.2816], [0.7624, 0.8453, 0.7816], [0.2624, 0.1547, 0.2816], [0.2376, 0.8453, 0.7816], [0.0000, 0.3525, 0.6116], [0.5000, 0.6475, 0.1116], [0.8054, 0.3422, 0.6366], [0.6946, 0.6578, 0.1366], [0.1946, 0.3422, 0.6366], [0.3054, 0.6578, 0.1366], [0.0000, 0.8525, 0.5539], [0.5000, 0.1475, 0.0539]], "volume_a3_per_atom": 18.27, "m_tot_mub_per_cell": 2.8, "crystal_system": "orthorhombic", "polymorph_energy_ev_per_fu": 0.52, "final_energy_ev_per_atom": -4.24, "e_form_raw_kj_per_mol_atoms": 151}

***

{"formula": "Y3Ga7Ir2", "functional": "PBE", "state": "optimized geometry", "lattice": [[4.2114, 0.0000, 0.0000], [0.0000, 4.1748, -0.4959], [0.0000, -0.5338, 13.5103]], "species": ["Y", "Y", "Y", "Ga", "Ga", "Ga", "Ga", "Ga", "Ga", "Ga", "Ir", "Ir"], "fractional_positions": [[0.0000, 0.8201, 0.6391], [0.0000, 0.1799, 0.3609], [0.5000, 0.5000, 0.0000], [0.5000, 0.9179, 0.8370], [0.5000, 0.0821, 0.1630], [0.5000, 0.7238, 0.4475], [0.5000, 0.2762, 0.5525], [0.0000, 0.0000, 0.0000], [0.0000, 0.4177, 0.8363], [0.0000, 0.5823, 0.1637], [0.5000, 0.6323, 0.2628], [0.5000, 0.3677, 0.7372]], "volume_a3_per_atom": 19.70, "m_tot_mub_per_cell": 0.0, "crystal_system": "monoclinic", "final_energy_ev_per_atom": -5.53, "ef_ev_per_fu": -8.1}

***

{"formula": "AcY2Zn9", "functional": "PBE", "state": "optimized geometry", "lattice": [[5.3516, 0.0000, 1.5927], [2.4388, 4.7636, 1.5927], [0.1677, 0.1025, 9.2238]], "species": ["Ac", "Y", "Y", "Zn", "Zn", "Zn", "Zn", "Zn", "Zn", "Zn", "Zn", "Zn"], "fractional_positions": [[0.0000, 0.0000, 0.0000], [0.8570, 0.8570, 0.4290], [0.1430, 0.1430, 0.5710], [0.6642, 0.6642, 0.0073], [0.3358, 0.3358, 0.9927], [0.5000, 0.5000, 0.5000], [0.4115, 0.4115, 0.2529], [0.9242, 0.4115, 0.2529], [0.4115, 0.9242, 0.2529], [0.5885, 0.5885, 0.7471], [0.5885, 0.0758, 0.7471], [0.0758, 0.5885, 0.7471]], "volume_a3_per_atom": 19.45, "m_tot_mub_per_cell": 0.0, "crystal_system": "trigonal", "final_energy_ev_per_atom": -2.69, "ef_ev_per_fu": -3.7}

***

{"formula": "AcPr3P4", "functional": "PBE", "state": "optimized geometry", "lattice": [[-5.6125, 2.1967, -0.3685], [-2.1301, -5.5854, -0.8530], [-0.6512, -0.6629, 5.9664]], "species": ["Pr", "Pr", "Pr", "P", "P", "P", "P", "Ac"], "fractional_positions": [[0.0000, 0.5000, 0.5000], [0.5000, 0.0000, 0.5000], [0.5000, 0.5000, 0.0000], [0.5000, 0.0000, 0.0000], [0.0000, 0.5000, 0.0000], [0.0000, 0.0000, 0.5000], [0.5000, 0.5000, 0.5000], [0.0000, 0.0000, 0.0000]], "volume_a3_per_atom": 27.52, "m_tot_mub_per_cell": 0.0, "crystal_system": "cubic", "final_energy_ev_per_atom": -6.49, "ef_ev_per_fu": -11.8}

***

{"formula": "NbNiIr2", "functional": "PBE", "state": "optimized geometry", "lattice": [[3.8301, 0.0000, 0.0000], [0.0000, 3.8309, -0.0003], [-1.9151, -1.9157, 3.9565]], "species": ["Nb", "Ni", "Ir", "Ir"], "fractional_positions": [[0.7500, 0.2500, 0.5001], [0.5000, 0.5001, 0.0000], [0.0000, 0.9999, 0.0000], [0.2499, 0.7500, 0.4999]], "volume_a3_per_atom": 14.51, "m_tot_mub_per_cell": 0.0, "crystal_system": "tetragonal", "polymorph_energy_ev_per_fu": 0.38, "final_energy_ev_per_atom": -8.75, "ef_ev_per_fu": -1.4}

***

{"formula": "InCu5Pd6", "functional": "PBE", "state": "optimized geometry", "lattice": [[7.5147, 0.4917, 0.0081], [2.2458, 3.6934, 0.0060], [1.1295, 1.8532, 6.4883]], "species": ["In", "Cu", "Cu", "Cu", "Cu", "Cu", "Pd", "Pd", "Pd", "Pd", "Pd", "Pd"], "fractional_positions": [[0.0000, 0.0000, 0.0000], [0.4998, 0.1655, 0.6693], [0.0000, 0.3310, 0.3376], [0.5000, 0.5000, 0.0000], [0.0000, 0.6690, 0.6624], [0.5002, 0.8345, 0.3307], [0.7440, 0.0858, 0.3407], [0.2566, 0.5730, 0.3405], [0.2604, 0.2395, 0.0001], [0.7396, 0.7605, 0.9999], [0.7434, 0.4270, 0.6595], [0.2560, 0.9142, 0.6593]], "volume_a3_per_atom": 14.40, "m_tot_mub_per_cell": 0.0, "crystal_system": "monoclinic", "final_energy_ev_per_atom": -4.76, "ef_ev_per_fu": -2.8}